Compound: Cs2LaAlTe4
Source: Alexandria
Functional: PBE
Structure: relaxed

Output
The calculation puts the formation energy without anion corrections at -0.916 eV per atom. The calculation puts the volume at 634.9 Å³/cell. The calculation puts the density of states at the Fermi level at 0.1334 states/eV/atom.

The structure in extended XYZ format:
```
16
Lattice="6.805 -6.868 0.000 6.805 6.868 0.000 -6.297 0.000 6.792" Properties=species:S:1:pos:R:3 pbc="T T T"
Cs 0.000 0.000 0.000
Cs -3.149 0.000 3.396
Cs 3.403 3.434 0.000
Cs 0.254 -3.434 3.396
La 0.254 3.434 3.396
La 3.403 -3.434 0.000
Al 6.805 0.000 0.000
Al 3.657 0.000 3.396
Te 3.478 3.005 3.591
Te 0.687 3.005 6.598
Te 0.706 0.167 3.803
Te 3.855 -0.167 0.407
Te 3.459 0.167 6.386
Te 6.607 -0.167 2.989
Te 6.626 -3.005 0.195
Te 3.836 -3.005 3.202
```

***

Compound: Ti2SeI
Source: Alexandria
Functional: PBE
Structure: relaxed

Output
The offset from the most stable computed form is 109 meV/atom. The calculation puts the formation energy without anion corrections at -0.161 eV per atom. The calculation puts the volume at 223.2 Å³/cell. The calculation puts the density of states at the Fermi level at 1.0978 states/eV/atom.

The structure in extended XYZ format:
```
8
Lattice="-2.767 2.767 7.290 2.767 -2.767 7.290 2.767 2.767 -7.290" Properties=species:S:1:pos:R:3 pbc="T T T"
Ti 4.150 1.111 -1.822
Ti 1.111 1.383 1.822
Ti -1.383 1.656 5.467
Ti 1.656 1.383 9.112
Se 0.000 0.000 0.000
Se 0.000 2.767 3.645
I 2.767 0.000 3.645
I 0.000 0.000 7.290
```

***

Compound: K4Rb2Zn
Source: Alexandria
Functional: PBE
Structure: relaxed

Output
The offset from the most stable computed form is 0 meV/atom. Its formation energy is 0.38 eV/f.u. The calculation puts the volume at 927.3 Å³/cell. The calculation puts the density of states at the Fermi level at 0.7654 states/eV/atom.

The structure in extended XYZ format:
```
14
Lattice="-7.897 7.897 3.717 7.897 -7.897 3.717 7.897 7.897 -3.717" Properties=species:S:1:pos:R:3 pbc="T T T"
K 12.910 1.419 0.000
K 1.419 2.884 0.000
K 9.316 5.013 0.000
K 5.013 6.478 0.000
K 2.884 1.419 3.717
K -1.419 2.884 3.717
K 6.478 5.013 3.717
K -5.013 6.478 3.717
Rb 6.144 1.753 0.000
Rb 6.144 -1.753 3.717
Rb 1.753 9.650 0.000
Rb 1.753 6.144 3.717
Zn 0.000 0.000 1.858
Zn 0.000 0.000 5.575
```